Record 1
# Sm3Al2Fe4, optimized geometry, DFT GGA-PBE
data_Sm3Al2Fe4
_chemical_formula_sum 'Sm6 Al4 Fe8'
_cell_length_a 10.222
_cell_length_b 4.144
_cell_length_c 8.199
_cell_angle_alpha 90.00
_cell_angle_beta 99.56
_cell_angle_gamma 90.00
_symmetry_space_group_name_H-M 'C 1 2/m 1'
_symmetry_Int_Tables_number 12
loop_
_symmetry_equiv_pos_as_xyz
'x,y,z'
'-x,-y,-z'
'-x,y,-z'
'x,-y,z'
'x+1/2,y+1/2,z'
'-x+1/2,-y+1/2,-z'
'-x+1/2,y+1/2,-z'
'x+1/2,-y+1/2,z'
loop_
_atom_site_label
_atom_site_fract_x
_atom_site_fract_y
_atom_site_fract_z
Sm1 0.000 0.000 0.000
Sm2 0.127 0.500 0.377
Al1 0.175 0.500 0.775
Fe1 0.080 0.000 0.630
Fe2 0.250 0.000 0.923
# **VASP energy**: -6.222 eV/atom
# **V**: 19.03 Å³/atom

Record 2
# La2Mg4CoPt, optimized geometry, DFT GGA-PBE
data_La2Mg4CoPt
_chemical_formula_sum 'La4 Mg8 Co2 Pt2'
_cell_length_a 8.323
_cell_length_b 4.248
_cell_length_c 10.304
_cell_angle_alpha 90.00
_cell_angle_beta 90.00
_cell_angle_gamma 90.00
_symmetry_space_group_name_H-M 'A m m 2'
_symmetry_Int_Tables_number 38
loop_
_symmetry_equiv_pos_as_xyz
'x,y,z'
'-x,-y,z'
'-x,y,z'
'x,-y,z'
'x,y+1/2,z+1/2'
'-x,-y+1/2,z+1/2'
'-x,y+1/2,z+1/2'
'x,-y+1/2,z+1/2'
loop_
_atom_site_label
_atom_site_fract_x
_atom_site_fract_y
_atom_site_fract_z
La1 0.000 0.000 0.000
La2 0.500 0.000 0.121
Mg1 0.191 0.000 0.714
Mg2 0.301 0.000 0.405
Co1 0.000 0.000 0.285
Pt1 0.500 0.000 0.834
# **VASP energy**: -4.049 eV/atom
# **V**: 22.77 Å³/atom

Record 3
# GeIr124, optimized geometry, DFT GGA-PBE
data_GeIr124
_chemical_formula_sum 'Ge4 Ir496'
_cell_length_a 19.365
_cell_length_b 19.365
_cell_length_c 19.365
_cell_angle_alpha 90.00
_cell_angle_beta 90.00
_cell_angle_gamma 90.00
_symmetry_space_group_name_H-M 'F m -3 m'
_symmetry_Int_Tables_number 225
_symmetry_space_group_name_Hall '-F 4 2 3'
loop_
_atom_site_label
_atom_site_fract_x
_atom_site_fract_y
_atom_site_fract_z
Ge1 0.000 0.000 0.000
Ir1 0.000 0.000 0.200
Ir2 0.000 0.000 0.400
Ir3 0.000 0.100 0.100
Ir4 0.000 0.100 0.300
Ir5 0.000 0.201 0.201
Ir6 0.100 0.100 0.200
Ir7 0.100 0.100 0.400
Ir8 0.100 0.200 0.300
Ir9 0.200 0.200 0.200
# **VASP energy**: -8.825 eV/atom
# **V**: 14.52 Å³/atom

Record 4
# Dy3Tm4Ni2Te2, optimized geometry, DFT GGA-PBE
data_Dy3Tm4Ni2Te2
_chemical_formula_sum 'Dy6 Tm8 Ni4 Te4'
_cell_length_a 3.835
_cell_length_b 15.524
_cell_length_c 9.484
_cell_angle_alpha 90.00
_cell_angle_beta 90.00
_cell_angle_gamma 90.00
_symmetry_space_group_name_H-M 'I m m 2'
_symmetry_Int_Tables_number 44
loop_
_symmetry_equiv_pos_as_xyz
'x,y,z'
'-x,-y,z'
'-x,y,z'
'x,-y,z'
'x+1/2,y+1/2,z+1/2'
'-x+1/2,-y+1/2,z+1/2'
'-x+1/2,y+1/2,z+1/2'
'x+1/2,-y+1/2,z+1/2'
loop_
_atom_site_label
_atom_site_fract_x
_atom_site_fract_y
_atom_site_fract_z
Dy1 0.000 0.000 0.000
Dy2 0.000 0.352 0.732
Tm1 0.000 0.134 0.583
Tm2 0.000 0.315 0.379
Ni1 0.000 0.239 0.071
Te1 0.000 0.000 0.338
Te2 0.000 0.500 0.233
# **VASP energy**: -5.150 eV/atom
# **V**: 25.67 Å³/atom

The highest VASP energy belongs to which entry? La2Mg4CoPt

V of number 4 (Dy3Tm4Ni2Te2)? 25.67 Å³/atom

What is the VASP energy in the second record? -4.049 eV/atom

What is the formula in the third record? GeIr124